# Co3Sb4O6F6

Co3Sb4O6F6 at its PBEsol-relaxed geometry (SCAN, Alexandria).

Cell: 7.0198 7.0198 7.0198 Å, 109.47 109.47 109.47°
With the nearest neighbours (Å) after each atom.
Element x y z (fractional)
Sb: 0.0000 0.0000 0.3263  3 O 2.01
Sb: 0.6737 0.6737 0.6737  3 O 2.01
Sb: 0.3263 0.0000 0.0000  3 O 2.01
Sb: 0.0000 0.3263 0.0000  3 O 2.01
O: 0.2523 0.0000 0.2523  2 Sb 2.01, 1 Co 2.01
O: 0.7477 0.0000 0.7477  2 Sb 2.01, 1 Co 2.01
O: 0.0000 0.2523 0.2523  2 Sb 2.01, 1 Co 2.01
O: 0.0000 0.7477 0.7477  2 Sb 2.01, 1 Co 2.01
O: 0.7477 0.7477 0.0000  2 Sb 2.01, 1 Co 2.01
O: 0.2523 0.2523 0.0000  2 Sb 2.01, 1 Co 2.01
Co: 0.0000 0.5000 0.5000  2 O 2.01, 4 F 2.03
Co: 0.5000 0.0000 0.5000  2 O 2.01, 4 F 2.03
Co: 0.5000 0.5000 0.0000  2 O 2.01, 4 F 2.03
F: 0.7500 0.2500 0.5000  2 Co 2.03
F: 0.2500 0.5000 0.7500  2 Co 2.03
F: 0.2500 0.7500 0.5000  2 Co 2.03
F: 0.7500 0.5000 0.2500  2 Co 2.03
F: 0.5000 0.7500 0.2500  2 Co 2.03
F: 0.5000 0.2500 0.7500  2 Co 2.03

Summary:
Magnetic moment   9.0 μB/f.u.
E_form (uncorrected)   -40.756 kcal/mol of atoms
Symmetry   No. 217